A plane-wave DFT calculation with GGA-PBE was carried out for LiGdHoSn after structural relaxation.

## Properties
**Total magnetization**: 7.733 μB per formula unit
**Space-group type**: F-43m (216)
**E_tot**: -6.555 eV per atom
**Formation energy from the elements**: -0.411 eV per atom

Cell lengths 5.236, 5.236, 5.236 Å; angles 60.00, 60.00, 60.00 degrees
Fractional positions:
Gd 0.000 0.000 0.000
Li 0.750 0.750 0.750
Ho 0.500 0.500 0.500
Sn 0.250 0.250 0.250